(one)
The following is a DFT calculation (GGA-PBE) of crystalline Cs2LaCuI6 at its relaxed geometry.

Cell and atoms, written as CIF:
```
data_Cs2LaCuI6
_space_group_name_H-M_alt 'P -3 m 1'
_space_group_IT_number 164
_space_group_name_Hall '-P 3 2"'
_cell_length_a 8.5667
_cell_length_b 8.5667
_cell_length_c 7.1568
_cell_angle_alpha 90.00
_cell_angle_beta 90.00
_cell_angle_gamma 120.00
loop_
_atom_site_label
_atom_site_fract_x
_atom_site_fract_y
_atom_site_fract_z
Cs1 0.3333 0.6667 0.2473
La1 0.0000 0.0000 0.0000
Cu1 0.0000 0.0000 0.5000
I1 0.1665 0.3331 0.7288
```

Size of the total moment ... 0.00 μB/f.u.
Mass density ... 4.489 g/cm³

---

(two)
The following is a DFT calculation (GGA-PBE) of crystalline Cs2LaCuI6 at its relaxed geometry.

Cell and atoms, written as CIF:
```
data_Cs2LaCuI6
_space_group_name_H-M_alt 'I 4/m m m'
_space_group_IT_number 139
_space_group_name_Hall '-I 4 2'
_cell_length_a 8.5660
_cell_length_b 8.5660
_cell_length_c 12.1372
_cell_angle_alpha 90.00
_cell_angle_beta 90.00
_cell_angle_gamma 90.00
loop_
_atom_site_label
_atom_site_fract_x
_atom_site_fract_y
_atom_site_fract_z
Cs1 0.0000 0.5000 0.2500
La1 0.0000 0.0000 0.0000
Cu1 0.0000 0.0000 0.5000
I1 0.0000 0.0000 0.2604
I2 0.2391 0.2391 0.5000
```

Size of the total moment ... 0.00 μB/f.u.
Mass density ... 4.586 g/cm³

---

Order of stability, best first: (one), (two)

---

(one)
The following is a DFT calculation (GGA-PBE) of crystalline CsCuIN2 at its relaxed geometry.

Cell and atoms, written as CIF:
```
data_CsCuIN2
_space_group_name_H-M_alt 'P 4/m m m'
_space_group_IT_number 123
_space_group_name_Hall '-P 4 2'
_cell_length_a 4.4509
_cell_length_b 4.4509
_cell_length_c 7.8151
_cell_angle_alpha 90.00
_cell_angle_beta 90.00
_cell_angle_gamma 90.00
loop_
_atom_site_label
_atom_site_fract_x
_atom_site_fract_y
_atom_site_fract_z
Cs1 0.0000 0.0000 0.0000
Cu1 0.5000 0.5000 0.5000
I1 0.0000 0.0000 0.5000
N1 0.0000 0.5000 0.0000
```

Size of the total moment ... 2.14 μB/f.u.
Mass density ... 3.769 g/cm³

---

(two)
The following is a DFT calculation (GGA-PBE) of crystalline CsCuIN2 at its relaxed geometry.

Cell and atoms, written as CIF:
```
data_CsCuIN2
_space_group_name_H-M_alt 'P 4/m m m'
_space_group_IT_number 123
_space_group_name_Hall '-P 4 2'
_cell_length_a 4.7920
_cell_length_b 4.7920
_cell_length_c 5.4603
_cell_angle_alpha 90.00
_cell_angle_beta 90.00
_cell_angle_gamma 90.00
loop_
_atom_site_label
_atom_site_fract_x
_atom_site_fract_y
_atom_site_fract_z
Cs1 0.0000 0.0000 0.0000
Cu1 0.5000 0.5000 0.5000
I1 0.5000 0.5000 0.0000
N1 0.0000 0.5000 0.5000
```

Size of the total moment ... 4.51 μB/f.u.
Mass density ... 4.653 g/cm³

---

Order of stability, best first: (two), (one)